Compound: Sr2Zn3Pd
Source: Alexandria via LeMat-Bulk
Functional: GGA-PBE
Structure: optimized geometry

Geometry as CIF:
```
data_Sr2Zn3Pd
_chemical_formula_sum 'Sr2 Zn3 Pd1'
_symmetry_space_group_name_H-M 'P m m 2'
_symmetry_Int_Tables_number 25
_symmetry_space_group_name_Hall 'P 2 -2'
_cell_length_a 4.294
_cell_length_b 4.516
_cell_length_c 7.773
_cell_angle_alpha 90.00
_cell_angle_beta 90.00
_cell_angle_gamma 90.00
loop_
_atom_site_label
_atom_site_type_symbol
_atom_site_fract_x
_atom_site_fract_y
_atom_site_fract_z
Sr1 Sr 0.000 0.000 0.000
Sr2 Sr 0.000 0.500 0.477
Zn1 Zn 0.500 0.000 0.652
Zn2 Zn 0.500 0.500 0.156
Zn3 Zn 0.500 0.500 0.818
Pd1 Pd 0.500 0.000 0.319
```

## Properties
Fermi-level density of states = 2.570 states/eV/f.u.
Energy above the most stable polymorph in this dataset = 0 meV per atom
Energy relative to the elements = -38.61 kJ per mole of atoms
E_tot = -14.8 eV for the cell shown
Total magnetization = 0.000 μB per atom

=====

Compound: ScSbAu
Source: Alexandria via LeMat-Bulk
Functional: GGA-PBE
Structure: optimized geometry

Geometry as CIF:
```
data_ScSbAu
_chemical_formula_sum 'Sc2 Sb2 Au2'
_symmetry_space_group_name_H-M 'I 4 m m'
_symmetry_Int_Tables_number 107
_symmetry_space_group_name_Hall 'I 4 -2'
_cell_length_a 3.498
_cell_length_b 3.498
_cell_length_c 10.843
_cell_angle_alpha 90.00
_cell_angle_beta 90.00
_cell_angle_gamma 90.00
loop_
_atom_site_label
_atom_site_type_symbol
_atom_site_fract_x
_atom_site_fract_y
_atom_site_fract_z
Sc1 Sc 0.000 0.000 0.000
Sb1 Sb 0.000 0.000 0.311
Au1 Au 0.000 0.000 0.632
```

## Properties
Fermi-level density of states = 2.156 states/eV/f.u.
ΔE_f (raw) = -1.5 eV/f.u.
E_tot = -30.5 eV for the cell shown
Total magnetization = 0.000 μB per atom

=====

Compound: TbTm6Al2
Source: Alexandria via LeMat-Bulk
Functional: GGA-PBE
Structure: optimized geometry

Geometry as CIF:
```
data_TbTm6Al2
_chemical_formula_sum 'Tb2 Tm12 Al4'
_symmetry_space_group_name_H-M 'C 1 2/m 1'
_symmetry_Int_Tables_number 12
_symmetry_space_group_name_Hall '-C 2y'
_cell_length_a 12.360
_cell_length_b 3.613
_cell_length_c 11.628
_cell_angle_alpha 90.00
_cell_angle_beta 108.53
_cell_angle_gamma 90.00
loop_
_atom_site_label
_atom_site_type_symbol
_atom_site_fract_x
_atom_site_fract_y
_atom_site_fract_z
Tb1 Tb 0.000 0.000 0.000
Tm1 Tm 0.020 0.000 0.333
Tm2 Tm 0.188 0.500 0.875
Tm3 Tm 0.189 0.500 0.586
Al1 Al 0.149 0.500 0.209
```

## Properties
Fermi-level density of states = 11.037 states/eV/f.u.
Energy relative to the elements = -16.63 kJ per mole of atoms
E_tot = -81.0 eV for the cell shown
Total magnetization = 0.000 μB per atom

=====

Compound: HfAlPd
Source: Alexandria via LeMat-Bulk
Functional: GGA-PBE
Structure: optimized geometry

Geometry as CIF:
```
data_HfAlPd
_chemical_formula_sum 'Hf2 Al2 Pd2'
_symmetry_space_group_name_H-M 'I 4 m m'
_symmetry_Int_Tables_number 107
_symmetry_space_group_name_Hall 'I 4 -2'
_cell_length_a 3.093
_cell_length_b 3.093
_cell_length_c 10.727
_cell_angle_alpha 90.00
_cell_angle_beta 90.00
_cell_angle_gamma 90.00
loop_
_atom_site_label
_atom_site_type_symbol
_atom_site_fract_x
_atom_site_fract_y
_atom_site_fract_z
Hf1 Hf 0.000 0.000 0.000
Al1 Al 0.000 0.000 0.683
Pd1 Pd 0.000 0.000 0.320
```

## Properties
Fermi-level density of states = 1.927 states/eV/f.u.
Energy relative to the elements = -62.15 kJ per mole of atoms
E_tot = -41.6 eV for the cell shown
Total magnetization = 0.000 μB per atom

=====

Compound: Ti2ReNi9
Source: Alexandria via LeMat-Bulk
Functional: GGA-PBE
Structure: optimized geometry

Geometry as CIF:
```
data_Ti2ReNi9
_chemical_formula_sum 'Ti2 Re1 Ni9'
_symmetry_space_group_name_H-M 'P 4/m m m'
_symmetry_Int_Tables_number 123
_symmetry_space_group_name_Hall '-P 4 2'
_cell_length_a 3.620
_cell_length_b 3.620
_cell_length_c 10.847
_cell_angle_alpha 90.00
_cell_angle_beta 90.00
_cell_angle_gamma 90.00
loop_
_atom_site_label
_atom_site_type_symbol
_atom_site_fract_x
_atom_site_fract_y
_atom_site_fract_z
Ti1 Ti 0.000 0.000 0.166
Re1 Re 0.000 0.000 0.500
Ni1 Ni 0.000 0.500 0.000
Ni2 Ni 0.000 0.500 0.333
Ni3 Ni 0.500 0.500 0.167
Ni4 Ni 0.500 0.500 0.500
```

## Properties
Fermi-level density of states = 10.442 states/eV/f.u.
Energy relative to the elements = -21.75 kJ per mole of atoms
E_tot = -83.0 eV for the cell shown
Total magnetization = 0.195 μB per atom

=====

Compound: Ce2UTc3
Source: Alexandria via LeMat-Bulk
Functional: GGA-PBE
Structure: optimized geometry

Geometry as CIF:
```
data_Ce2UTc3
_chemical_formula_sum 'Ce8 U4 Tc12'
_symmetry_space_group_name_H-M 'C 1 2/c 1'
_symmetry_Int_Tables_number 15
_symmetry_space_group_name_Hall '-C 2yc'
_cell_length_a 9.356
_cell_length_b 8.912
_cell_length_c 5.937
_cell_angle_alpha 90.00
_cell_angle_beta 93.90
_cell_angle_gamma 90.00
loop_
_atom_site_label
_atom_site_type_symbol
_atom_site_fract_x
_atom_site_fract_y
_atom_site_fract_z
Ce1 Ce 0.157 0.229 0.241
U1 U 0.000 0.379 0.750
Tc1 Tc 0.000 0.121 0.750
Tc2 Tc 0.224 0.500 0.442
```

## Properties
Fermi-level density of states = 8.216 states/eV/f.u.
Energy above the most stable polymorph in this dataset = 134 meV per atom
Energy relative to the elements = -0.33 kJ per mole of atoms
E_tot = -217.1 eV for the cell shown
Total magnetization = 0.000 μB per atom